Arrangement 1

Material: CrCo2Tc
Method: DFT, meta-GGA SCAN
State: single point on PBEsol structure

Output
calculated density: 9.93 g/cm³
density of states at the Fermi level: 3.033 states/eV/f.u.

a = 4.3786 Å, b = 4.3786 Å, c = 2.5022 Å
α = 90.00°, β = 90.00°, γ = 110.94°
Fractional positions:
Cr 0.0000 0.0000 0.0000
Co 0.0000 0.5000 0.5000
Co 0.5000 0.0000 0.5000
Tc 0.5000 0.5000 0.0000

Arrangement 2

Material: CrCo2Tc
Method: DFT, meta-GGA SCAN
State: single point on PBEsol structure

Output
calculated density: 9.97 g/cm³
density of states at the Fermi level: 2.793 states/eV/f.u.

a = 3.5124 Å, b = 3.5124 Å, c = 3.6159 Å
α = 90.00°, β = 90.00°, γ = 90.00°
Fractional positions:
Cr 0.0000 0.0000 0.0000
Co 0.0000 0.5000 0.5000
Co 0.5000 0.0000 0.5000
Tc 0.5000 0.5000 0.0000

Arrangement 3

Material: CrCo2Tc
Method: DFT, meta-GGA SCAN
State: single point on PBEsol structure

Output
calculated density: 9.97 g/cm³
density of states at the Fermi level: 2.819 states/eV/f.u.

a = 4.3868 Å, b = 4.3868 Å, c = 4.3868 Å
α = 132.80°, β = 132.80°, γ = 68.97°
Fractional positions:
Cr 0.0000 0.0000 0.0000
Co 0.2500 0.7500 0.5000
Co 0.7500 0.2500 0.5000
Tc 0.5000 0.5000 0.0000

Most stable: arrangement 2. Least stable: arrangement 1.

Arrangement 1

Material: CrCoW2
Method: DFT, meta-GGA SCAN
State: single point on PBEsol structure

Output
calculated density: 14.84 g/cm³
density of states at the Fermi level: 1.751 states/eV/f.u.

a = 3.0605 Å, b = 3.0605 Å, c = 5.7185 Å
α = 90.00°, β = 90.00°, γ = 90.00°
Fractional positions:
Cr 0.0000 0.0000 0.0000
Co 0.5000 0.5000 0.7594
W 0.0000 0.0000 0.5275
W 0.5000 0.5000 0.2398

Arrangement 2

Material: CrCoW2
Method: DFT, meta-GGA SCAN
State: single point on PBEsol structure

Output
calculated density: 14.88 g/cm³
density of states at the Fermi level: 2.763 states/eV/f.u.

a = 4.8990 Å, b = 4.8990 Å, c = 4.8990 Å
α = 143.40°, β = 129.54°, γ = 63.93°
Fractional positions:
Cr 0.0000 0.0000 0.0000
Co 0.7480 0.2480 0.5000
W 0.2361 0.7361 0.5000
W 0.4916 0.4916 0.0000

Arrangement 3

Material: CrCoW2
Method: DFT, meta-GGA SCAN
State: single point on PBEsol structure

Output
calculated density: 14.83 g/cm³
density of states at the Fermi level: 2.432 states/eV/f.u.

a = 4.8637 Å, b = 4.8637 Å, c = 2.6177 Å
α = 99.80°, β = 99.80°, γ = 114.30°
Fractional positions:
Cr 0.0000 0.0000 0.0000
Co 0.5000 0.5000 0.0000
W 0.0000 0.5000 0.5000
W 0.5000 0.0000 0.5000

Most stable: arrangement 1. Least stable: arrangement 3.

Arrangement 1

Material: CsCo3Re
Method: DFT, meta-GGA SCAN
State: single point on PBEsol structure

Output
calculated density: 9.15 g/cm³
density of states at the Fermi level: 4.475 states/eV/f.u.

a = 4.4810 Å, b = 4.4810 Å, c = 4.4810 Å
α = 90.00°, β = 90.00°, γ = 90.00°
Fractional positions:
Cs 0.0000 0.0000 0.0000
Co 0.0000 0.0000 0.5000
Co 0.0000 0.5000 0.0000
Co 0.5000 0.0000 0.0000
Re 0.5000 0.5000 0.5000

Arrangement 2

Material: CsCo3Re
Method: DFT, meta-GGA SCAN
State: single point on PBEsol structure

Output
calculated density: 8.57 g/cm³
density of states at the Fermi level: 3.912 states/eV/f.u.

a = 4.5808 Å, b = 4.5808 Å, c = 4.5808 Å
α = 90.00°, β = 90.00°, γ = 90.00°
Fractional positions:
Cs 0.0000 0.0000 0.0000
Co 0.0000 0.5000 0.5000
Co 0.5000 0.0000 0.5000
Co 0.5000 0.5000 0.0000
Re 0.5000 0.5000 0.5000

Most stable: arrangement 2. Least stable: arrangement 1.

Arrangement 1

Material: CoCu2Ir
Method: DFT, meta-GGA SCAN
State: single point on PBEsol structure

Output
calculated density: 13.00 g/cm³
density of states at the Fermi level: 2.376 states/eV/f.u.

a = 8.3720 Å, b = 8.3720 Å, c = 8.3720 Å
α = 17.88°, β = 17.88°, γ = 17.88°
Fractional positions:
Co 0.0000 0.0000 0.0000
Cu 0.4956 0.4956 0.4956
Cu 0.7477 0.7477 0.7477
Ir 0.2509 0.2509 0.2509

Arrangement 2

Material: CoCu2Ir
Method: DFT, meta-GGA SCAN
State: single point on PBEsol structure

Output
calculated density: 13.13 g/cm³
density of states at the Fermi level: 2.196 states/eV/f.u.

a = 3.5558 Å, b = 3.5558 Å, c = 3.7827 Å
α = 90.00°, β = 90.00°, γ = 90.00°
Fractional positions:
Co 0.0000 0.0000 0.0000
Cu 0.0000 0.5000 0.5000
Cu 0.5000 0.0000 0.5000
Ir 0.5000 0.5000 0.0000

Most stable: arrangement 1. Least stable: arrangement 2.

Arrangement 1

Material: CoCuIr2
Method: DFT, meta-GGA SCAN
State: single point on PBEsol structure

Output
calculated density: 16.55 g/cm³
density of states at the Fermi level: 4.137 states/eV/f.u.

a = 8.4966 Å, b = 8.4966 Å, c = 8.4966 Å
α = 17.95°, β = 17.95°, γ = 17.95°
Fractional positions:
Co 0.0000 0.0000 0.0000
Cu 0.5000 0.5000 0.5000
Ir 0.2523 0.2523 0.2523
Ir 0.7477 0.7477 0.7477

Arrangement 2

Material: CoCuIr2
Method: DFT, meta-GGA SCAN
State: single point on PBEsol structure

Output
calculated density: 16.86 g/cm³
density of states at the Fermi level: 3.529 states/eV/f.u.

a = 2.6398 Å, b = 2.6398 Å, c = 7.1633 Å
α = 90.00°, β = 90.00°, γ = 90.00°
Fractional positions:
Co 0.0000 0.0000 0.0000
Cu 0.0000 0.0000 0.5000
Ir 0.5000 0.5000 0.2388
Ir 0.5000 0.5000 0.7612

Arrangement 3

Material: CoCuIr2
Method: DFT, meta-GGA SCAN
State: single point on PBEsol structure

Output
calculated density: 16.56 g/cm³
density of states at the Fermi level: 3.666 states/eV/f.u.

a = 4.4538 Å, b = 4.4538 Å, c = 4.5867 Å
α = 99.98°, β = 99.98°, γ = 34.63°
Fractional positions:
Co 0.0000 0.0000 0.0000
Cu 0.5000 0.5000 0.5000
Ir 0.2553 0.2553 0.7538
Ir 0.7447 0.7447 0.2462

Most stable: arrangement 1. Least stable: arrangement 2.

Arrangement 1

Material: Li2CoCuO4
Method: DFT, meta-GGA SCAN
State: single point on PBEsol structure

Output
calculated density: 5.12 g/cm³
density of states at the Fermi level: 1.784 states/eV/f.u.

a = 5.0277 Å, b = 5.0277 Å, c = 5.0277 Å
α = 133.84°, β = 133.84°, γ = 67.34°
Fractional positions:
Li 0.0000 0.0000 0.0000
Li 0.7500 0.2500 0.5000
Co 0.5000 0.5000 0.0000
Cu 0.2500 0.7500 0.5000
O 0.0175 0.5175 0.5000
O 0.2755 0.2755 0.0000
O 0.4825 0.9825 0.5000
O 0.7245 0.7245 0.0000

Arrangement 2

Material: Li2CoCuO4
Method: DFT, meta-GGA SCAN
State: single point on PBEsol structure

Output
calculated density: 4.93 g/cm³
density of states at the Fermi level: 4.023 states/eV/f.u.

a = 5.8899 Å, b = 5.8899 Å, c = 5.8899 Å
α = 124.33°, β = 123.43°, γ = 83.40°
Fractional positions:
Li 0.0000 0.0000 0.0000
Li 0.5000 0.0000 0.0000
Li 0.5000 0.0000 0.5000
Li 0.5000 0.5000 0.5000
Co 0.0000 0.5000 0.5000
Co 0.5000 0.5000 0.0000
Cu 0.0000 0.0000 0.5000
Cu 0.0000 0.5000 0.0000
O 0.1916 0.7129 0.4787
O 0.2664 0.2846 0.5181
O 0.2657 0.2871 0.9787
O 0.2664 0.7483 0.9819
O 0.7336 0.2517 0.0181
O 0.7343 0.7129 0.0213
O 0.7336 0.7154 0.4819
O 0.8084 0.2871 0.5213

Most stable: arrangement 2. Least stable: arrangement 1.

Arrangement 1

Material: Mn2CoCu
Method: DFT, meta-GGA SCAN
State: single point on PBEsol structure

Output
calculated density: 9.15 g/cm³
density of states at the Fermi level: 4.444 states/eV/f.u.

a = 2.4222 Å, b = 3.5851 Å, c = 4.8561 Å
α = 90.00°, β = 90.00°, γ = 90.00°
Fractional positions:
Mn 0.0000 0.0000 0.2372
Mn 0.0000 0.0000 0.7628
Co 0.5000 0.5000 0.0000
Cu 0.5000 0.5000 0.5000

Arrangement 2

Material: Mn2CoCu
Method: DFT, meta-GGA SCAN
State: single point on PBEsol structure

Output
calculated density: 8.67 g/cm³
density of states at the Fermi level: 2.669 states/eV/f.u.

a = 4.3504 Å, b = 4.3504 Å, c = 4.3504 Å
α = 132.07°, β = 132.07°, γ = 70.12°
Fractional positions:
Mn 0.0000 0.0000 0.0000
Mn 0.7500 0.2500 0.5000
Co 0.5000 0.5000 0.0000
Cu 0.2500 0.7500 0.5000

Most stable: arrangement 2. Least stable: arrangement 1.

Arrangement 1

Material: Co2CuMo
Method: DFT, meta-GGA SCAN
State: single point on PBEsol structure

Output
calculated density: 9.77 g/cm³
density of states at the Fermi level: 3.605 states/eV/f.u.

a = 4.7845 Å, b = 4.7845 Å, c = 2.5059 Å
α = 102.75°, β = 102.75°, γ = 115.53°
Fractional positions:
Co 0.0000 0.5000 0.0000
Co 0.5000 0.0000 0.0000
Cu 0.0000 0.0000 0.5000
Mo 0.5000 0.5000 0.5000

Arrangement 2

Material: Co2CuMo
Method: DFT, meta-GGA SCAN
State: single point on PBEsol structure

Output
calculated density: 9.55 g/cm³
density of states at the Fermi level: 2.627 states/eV/f.u.

a = 8.5063 Å, b = 8.5063 Å, c = 8.5063 Å
α = 17.44°, β = 17.44°, γ = 17.44°
Fractional positions:
Co 0.0000 0.0000 0.0000
Co 0.2583 0.2583 0.2583
Cu 0.7478 0.7478 0.7478
Mo 0.5055 0.5055 0.5055

Arrangement 3

Material: Co2CuMo
Method: DFT, meta-GGA SCAN
State: single point on PBEsol structure

Output
calculated density: 9.96 g/cm³
density of states at the Fermi level: 4.363 states/eV/f.u.

a = 4.0290 Å, b = 4.0290 Å, c = 4.0290 Å
α = 60.00°, β = 60.00°, γ = 60.00°
Fractional positions:
Co 0.2500 0.2500 0.2500
Co 0.7500 0.7500 0.7500
Cu 0.0000 0.0000 0.0000
Mo 0.5000 0.5000 0.5000

Arrangement 4

Material: Co2CuMo
Method: DFT, meta-GGA SCAN
State: single point on PBEsol structure

Output
calculated density: 9.73 g/cm³
density of states at the Fermi level: 2.835 states/eV/f.u.

a = 2.4833 Å, b = 4.0954 Å, c = 4.6778 Å
α = 90.00°, β = 95.63°, γ = 90.00°
Fractional positions:
Co 0.2353 0.0000 0.2604
Co 0.7647 0.0000 0.7396
Cu 0.0000 0.5000 0.5000
Mo 0.5000 0.5000 0.0000

Most stable: arrangement 3. Least stable: arrangement 1.

Arrangement 1

Material: CoCuMo2
Method: DFT, meta-GGA SCAN
State: single point on PBEsol structure

Output
calculated density: 9.92 g/cm³
density of states at the Fermi level: 3.800 states/eV/f.u.

a = 4.2063 Å, b = 4.2063 Å, c = 4.2063 Å
α = 60.00°, β = 60.00°, γ = 60.00°
Fractional positions:
Co 0.0000 0.0000 0.0000
Cu 0.5000 0.5000 0.5000
Mo 0.2500 0.2500 0.2500
Mo 0.7500 0.7500 0.7500

Arrangement 2

Material: CoCuMo2
Method: DFT, meta-GGA SCAN
State: single point on PBEsol structure

Output
calculated density: 10.03 g/cm³
density of states at the Fermi level: 3.749 states/eV/f.u.

a = 4.5337 Å, b = 4.5337 Å, c = 4.6709 Å
α = 98.05°, β = 98.05°, γ = 33.22°
Fractional positions:
Co 0.0000 0.0000 0.0000
Cu 0.7419 0.7419 0.2521
Mo 0.2584 0.2584 0.7764
Mo 0.4931 0.4931 0.4807

Most stable: arrangement 2. Least stable: arrangement 1.

Arrangement 1

Material: CoCuNi
Method: DFT, meta-GGA SCAN
State: single point on PBEsol structure

Output
calculated density: 9.41 g/cm³
density of states at the Fermi level: 1.943 states/eV/f.u.

a = 5.5865 Å, b = 5.5865 Å, c = 5.5865 Å
α = 154.63°, β = 154.63°, γ = 36.18°
Fractional positions:
Co 0.0000 0.0000 0.0000
Cu 0.6718 0.6718 0.0000
Ni 0.3428 0.3428 0.0000

Arrangement 2

Material: CoCuNi
Method: DFT, meta-GGA SCAN
State: single point on PBEsol structure

Output
calculated density: 9.42 g/cm³
density of states at the Fermi level: 2.536 states/eV/f.u.

a = 4.2764 Å, b = 4.2764 Å, c = 4.2764 Å
α = 146.66°, β = 131.41°, γ = 60.21°
Fractional positions:
Co 0.0000 0.0000 0.0000
Cu 0.6691 0.6691 0.0000
Ni 0.3385 0.3385 0.0000

Most stable: arrangement 1. Least stable: arrangement 2.

Arrangement 1

Material: CoCu2Re
Method: DFT, meta-GGA SCAN
State: single point on PBEsol structure

Output
calculated density: 12.71 g/cm³
density of states at the Fermi level: 2.447 states/eV/f.u.

a = 4.6177 Å, b = 4.6177 Å, c = 2.4900 Å
α = 90.00°, β = 90.00°, γ = 113.65°
Fractional positions:
Co 0.0000 0.0000 0.0000
Cu 0.0000 0.5000 0.5000
Cu 0.5000 0.0000 0.5000
Re 0.5000 0.5000 0.0000

Arrangement 2

Material: CoCu2Re
Method: DFT, meta-GGA SCAN
State: single point on PBEsol structure

Output
calculated density: 12.82 g/cm³
density of states at the Fermi level: 3.189 states/eV/f.u.

a = 5.0073 Å, b = 5.0073 Å, c = 2.5164 Å
α = 102.65°, β = 102.65°, γ = 121.31°
Fractional positions:
Co 0.0000 0.0000 0.0000
Cu 0.0000 0.5000 0.5000
Cu 0.5000 0.0000 0.5000
Re 0.5000 0.5000 0.0000

Most stable: arrangement 1. Least stable: arrangement 2.